Record 1
DFT (PBE) results for a relaxed K2TeOs crystal.

a b c (Å): 11.609 11.609 11.609
angles (deg): 15.69 15.69 15.69
Fractional positions:
K (0.245, 0.245, 0.245)
K (0.755, 0.755, 0.755)
Te (0.000, 0.000, 0.000)
Os (0.500, 0.500, 0.500)

Output
SG   R-3m (166)
Raw total energy   -0.242 Ry/atom

Record 2
DFT (PBE) results for a relaxed AcPrTlGe crystal.

a b c (Å): 5.554 5.554 5.554
angles (deg): 60.00 60.00 60.00
Fractional positions:
Ac (0.000, 0.000, 0.000)
Pr (0.500, 0.500, 0.500)
Tl (0.750, 0.750, 0.750)
Ge (0.250, 0.250, 0.250)

Output
Calculated formation energy   -0.417 eV/atom
SG   F-43m (216)